Entry 1:
Entry from Alexandria via LeMat-Bulk: a geometry-optimized SrLi2Tc structure (PBE).

Cell: 2.889 4.439 6.318 Å, 90.00 90.00 90.00°
Last column: magnetic moment on the atom in μB.
Fractional positions:
Li 0.000 0.000 0.933  0.00
Li 0.000 0.000 0.567  0.00
Sr 0.500 0.500 0.250  0.01
Tc 0.500 0.500 0.750  0.75

Output
VASP energy: -13.2 eV for the cell shown
Energy relative to the lowest polymorph listed for this composition: 8.32 kJ/mol of atoms


Entry 2:
Entry from Alexandria via LeMat-Bulk: a geometry-optimized Sr2LiTc structure (PBE).

Cell: 6.703 6.703 6.703 Å, 148.75 131.79 58.58°
Last column: magnetic moment on the atom in μB.
Fractional positions:
Li 0.696 0.196 0.500  -0.01
Sr 0.993 0.993 0.000  -0.02
Sr 0.288 0.788 0.500  -0.03
Tc 0.524 0.524 0.000  1.56

Output
VASP energy: -13.1 eV for the cell shown


Entry 3:
Entry from Alexandria via LeMat-Bulk: a geometry-optimized SrLi2Tc structure (PBE).

Cell: 4.943 2.832 5.818 Å, 86.90 90.00 90.00°
Fractional positions:
Li 0.000 0.035 0.931
Li 0.000 0.465 0.569
Sr 0.500 0.250 0.250
Tc 0.500 0.750 0.750

Output
VASP energy: -13.5 eV for the cell shown
Energy relative to the lowest polymorph listed for this composition: 1.50 kJ/mol of atoms


Values for energy relative to the elements, eV/atom, ordered as above
0.661 0.632 0.590